Record 1
{"formula": "Sc8Ga2Ge", "functional": "PBE", "state": "optimized geometry", "energy_ev_per_fu": -65.6, "formation_enthalpy_0k_mev_per_atom": -387, "space_group": "C2/m (12)", "lattice_angstrom": [[4.590, 0.000, 0.000], [0.000, 6.151, 0.152], [-2.295, -2.434, 8.455]], "species": ["Ga", "Ga", "Sc", "Sc", "Sc", "Sc", "Sc", "Sc", "Sc", "Sc", "Ge"], "frac_coords": [[0.817, 0.250, 0.635], [0.183, 0.750, 0.365], [0.657, 0.987, 0.313], [0.343, 0.013, 0.687], [0.591, 0.462, 0.183], [0.217, 0.318, 0.434], [0.783, 0.682, 0.566], [0.026, 0.773, 0.051], [0.974, 0.227, 0.949], [0.409, 0.538, 0.817], [0.500, 0.000, 0.000]]}

---

Record 2
{"formula": "Sc3In2Pt", "functional": "PBE", "state": "optimized geometry", "energy_ev_per_fu": -34.7, "formation_enthalpy_0k_mev_per_atom": -699, "space_group": "Cmmm (65)", "lattice_angstrom": [[4.760, 0.000, 0.021], [2.380, 7.369, 0.010], [-0.031, 0.000, 7.218]], "species": ["In", "In", "In", "In", "Pt", "Pt", "Sc", "Sc", "Sc", "Sc", "Sc", "Sc"], "frac_coords": [[0.331, 0.338, 0.500], [0.000, 0.000, 0.500], [0.000, 0.000, 0.000], [0.669, 0.662, 0.500], [0.641, 0.717, 0.000], [0.359, 0.283, 0.000], [0.174, 0.652, 0.783], [0.826, 0.348, 0.783], [0.500, 0.000, 0.246], [0.174, 0.652, 0.217], [0.826, 0.348, 0.217], [0.500, 0.000, 0.754]]}